1.
TaNiTe after structural relaxation. Source: the Alexandria database, functional PBEsol.

Summary:
Calculated volume = 54.1 Å³/f.u.
Fermi-level density of states = 4.48 states/eV/cell
Final energy = -7.001 eV per atom
Mass density = 11.3 Mg/m³

Cell lengths 4.2455, 4.2455, 4.2455 Å; angles 60.00, 60.00, 60.00 degrees
Closest atoms and distances in Å follow each position.
Fractional positions:
1 Ta 0.0000 0.0000 0.0000  4 Ni 2.60
2 Ni 0.2500 0.2500 0.2500  4 Ta 2.60, 4 Te 2.60
3 Te 0.5000 0.5000 0.5000  4 Ni 2.60

---

2.
TaNiTe2 after structural relaxation. Source: the Alexandria database, functional PBEsol.

Summary:
Distance to the lowest polymorph of the same formula = 331 meV/atom
Calculated volume = 85.2 Å³/f.u.
Fermi-level density of states = 2.58 states/eV/cell
Final energy = -6.508 eV per atom
Mass density = 9.6 Mg/m³

Cell lengths 3.4857, 3.4857, 7.0160 Å; angles 90.00, 90.00, 90.00 degrees
Closest atoms and distances in Å follow each position.
Fractional positions:
1 Ni 0.0000 0.0000 0.5236  5 Te 2.71-2.76, 4 Ta 2.82
2 Te 0.5000 0.5000 0.3471  1 Ta 2.61, 4 Ni 2.76
3 Te 0.0000 0.0000 0.9096  1 Ni 2.71, 4 Ta 2.80
4 Ta 0.5000 0.5000 0.7196  5 Te 2.61-2.80, 4 Ni 2.82

---

3.
TaNiTe2 after structural relaxation. Source: the Alexandria database, functional PBEsol.

Summary:
Distance to the lowest polymorph of the same formula = 83 meV/atom
Calculated volume = 92.7 Å³/f.u.
Fermi-level density of states = 3.62 states/eV/cell
Final energy = -6.755 eV per atom
Mass density = 8.9 Mg/m³

Cell lengths 3.9531, 3.9528, 6.8509 Å; angles 90.01, 90.00, 120.00 degrees
Closest atoms and distances in Å follow each position.
Fractional positions:
1 Te 0.3749 0.7498 0.3299  1 Ni 2.65, 3 Ta 2.84
2 Te 0.0417 0.0834 0.8752  3 Ni 2.53
3 Ta 0.7084 0.4167 0.5777  3 Ni 2.47
4 Ni 0.3750 0.7501 0.7172  3 Ta 2.47, 4 Te 2.53-2.65

---

4.
TaNiTe2 after structural relaxation. Source: the Alexandria database, functional PBEsol.

Summary:
Distance to the lowest polymorph of the same formula = 846 meV/atom
Calculated volume = 83.8 Å³/f.u.
Fermi-level density of states = 4.52 states/eV/cell
Final energy = -5.993 eV per atom
Mass density = 9.8 Mg/m³

Cell lengths 3.3378, 3.3378, 8.8933 Å; angles 79.18, 79.18, 60.00 degrees
Closest atoms and distances in Å follow each position.
Fractional positions:
1 Ta 0.0000 0.0000 0.0000  2 Te 2.72
2 Te 0.1043 0.1043 0.6870  3 Ni 2.52, 1 Ta 2.72
3 Te 0.8957 0.8957 0.3130  3 Ni 2.52, 1 Ta 2.72
4 Ni 0.5000 0.5000 0.5000  6 Te 2.52

---

5.
TaTiNi6 after structural relaxation. Source: the Alexandria database, functional PBEsol.

Summary:
Calculated volume = 92.6 Å³/f.u.
Formation enthalpy at 0 K = -436 meV per atom
Fermi-level density of states = 4.17 states/eV/cell
Final energy = -7.663 eV per atom
Mass density = 10.4 Mg/m³

Cell lengths 4.1816, 5.0570, 5.0570 Å; angles 120.00, 90.00, 90.00 degrees
Closest atoms and distances in Å follow each position.
Fractional positions:
1 Ni 0.0000 0.1616 0.8384  8 Ni 2.45-2.61, 2 Ti 2.53, 2 Ta 2.58
2 Ni 0.0000 0.1616 0.3232  8 Ni 2.45-2.61, 2 Ti 2.53, 2 Ta 2.58
3 Ni 0.5000 0.8367 0.6734  8 Ni 2.48-2.58, 2 Ta 2.53, 2 Ti 2.57
4 Ni 0.5000 0.3266 0.1633  8 Ni 2.48-2.58, 2 Ta 2.53, 2 Ti 2.57
5 Ni 0.5000 0.8367 0.1633  8 Ni 2.48-2.58, 2 Ta 2.53, 2 Ti 2.57
6 Ni 0.0000 0.6768 0.8384  8 Ni 2.45-2.61, 2 Ti 2.53, 2 Ta 2.58
7 Ta 0.5000 0.3333 0.6667  12 Ni 2.53-2.58
8 Ti 0.0000 0.6667 0.3333  12 Ni 2.53-2.57

---

6.
Ta2TlNi after structural relaxation. Source: the Alexandria database, functional PBEsol.

Summary:
Distance to the lowest polymorph of the same formula = 0 meV/atom
Calculated volume = 66.3 Å³/f.u.
Formation enthalpy at 0 K = 218 meV per atom
Fermi-level density of states = 3.27 states/eV/cell
Final energy = -8.254 eV per atom
Mass density = 15.6 Mg/m³

Cell lengths 3.5378, 4.2477, 5.2090 Å; angles 114.06, 109.85, 90.00 degrees
Closest atoms and distances in Å follow each position.
Fractional positions:
1 Ni 0.5000 0.0000 0.0000  4 Ta 2.74, 4 Tl 2.76
2 Ta 0.2366 0.2366 0.4732  2 Ni 2.74, 4 Ta 2.77, 4 Tl 2.92-2.98
3 Ta 0.7634 0.7634 0.5268  2 Ni 2.74, 4 Ta 2.77, 4 Tl 2.92-2.98
4 Tl 0.0000 0.5000 0.0000  4 Ni 2.76, 8 Ta 2.92-2.98

---

7.
TaTlNi after structural relaxation. Source: the Alexandria database, functional PBEsol.

Summary:
Calculated volume = 50.1 Å³/f.u.
Formation enthalpy at 0 K = 183 meV per atom
Fermi-level density of states = 2.50 states/eV/cell
Final energy = -6.930 eV per atom
Mass density = 14.7 Mg/m³

Cell lengths 3.0216, 3.0216, 5.8856 Å; angles 104.87, 104.87, 90.00 degrees
Closest atoms and distances in Å follow each position.
Fractional positions:
1 Ni 0.9861 0.9861 0.9721  4 Ta 2.55, 4 Tl 2.83
2 Tl 0.6547 0.6547 0.3094  4 Ni 2.83, 4 Tl 3.02, 4 Ta 3.10
3 Ta 0.3592 0.3592 0.7185  4 Ni 2.55

---

8.
Ta2TlNi after structural relaxation. Source: the Alexandria database, functional PBEsol.

Summary:
Distance to the lowest polymorph of the same formula = 24 meV/atom
Calculated volume = 68.1 Å³/f.u.
Formation enthalpy at 0 K = 243 meV per atom
Fermi-level density of states = 3.93 states/eV/cell
Final energy = -8.230 eV per atom
Mass density = 15.2 Mg/m³

Cell lengths 3.3394, 3.3394, 6.1103 Å; angles 90.00, 90.00, 90.00 degrees
Closest atoms and distances in Å follow each position.
Fractional positions:
1 Ni 0.5000 0.5000 0.7649  5 Ta 2.73-2.82, 4 Tl 2.80
2 Ta 0.5000 0.5000 0.2257  4 Ta 2.77, 1 Ni 2.82, 4 Tl 2.97
3 Ta 0.0000 0.0000 0.9899  4 Ni 2.73, 4 Ta 2.77, 1 Tl 2.87
4 Tl 0.0000 0.0000 0.5194  4 Ni 2.80, 5 Ta 2.87-2.97

---

9.
TaTlNi6 after structural relaxation. Source: the Alexandria database, functional PBEsol.

Summary:
Calculated volume = 98.9 Å³/f.u.
Formation enthalpy at 0 K = -137 meV per atom
Fermi-level density of states = 4.17 states/eV/cell
Final energy = -6.653 eV per atom
Mass density = 12.4 Mg/m³

Cell lengths 6.3543, 6.3543, 10.4035 Å; angles 90.00, 90.00, 109.61 degrees
Closest atoms and distances in Å follow each position.
Fractional positions:
1 Tl 0.7470 0.2530 0.0000  12 Ni 2.57-2.69
2 Tl 0.2530 0.7470 0.0000  12 Ni 2.57-2.69
3 Tl 0.5000 0.5000 0.2505  12 Ni 2.60-2.65
4 Tl 0.5000 0.5000 0.7495  12 Ni 2.60-2.65
5 Ni 0.1192 0.3638 0.1302  1 Ta 2.51, 8 Ni 2.54-2.71, 3 Tl 2.60-2.66
6 Ni 0.8808 0.6362 0.1302  1 Ta 2.51, 8 Ni 2.54-2.71, 3 Tl 2.60-2.66
7 Ni 0.6362 0.8808 0.1302  1 Ta 2.51, 8 Ni 2.54-2.71, 3 Tl 2.60-2.66
8 Ni 0.1179 0.3721 0.3796  8 Ni 2.51-2.64, 3 Ta 2.52-2.60, 1 Tl 2.65
9 Ni 0.7548 0.2452 0.7419  8 Ni 2.51-2.69, 2 Ta 2.52-2.55, 2 Tl 2.65-2.69
10 Ni 0.6279 0.8821 0.6204  8 Ni 2.51-2.64, 3 Ta 2.52-2.60, 1 Tl 2.65
11 Ni 0.7548 0.2452 0.2581  8 Ni 2.51-2.69, 2 Ta 2.52-2.55, 2 Tl 2.65-2.69
12 Ni 0.1192 0.3638 0.8698  1 Ta 2.51, 8 Ni 2.54-2.71, 3 Tl 2.60-2.66
13 Ni 0.0000 0.0000 0.0000  8 Ni 2.56, 2 Ta 2.60, 2 Tl 2.63
14 Ni 0.5000 0.5000 0.5000  2 Tl 2.60, 8 Ni 2.61, 2 Ta 2.62
15 Ni 0.2452 0.7548 0.7419  8 Ni 2.51-2.69, 2 Ta 2.52-2.55, 2 Tl 2.65-2.69
16 Ni 0.1179 0.3721 0.6204  8 Ni 2.51-2.64, 3 Ta 2.52-2.60, 1 Tl 2.65
17 Ni 0.6279 0.8821 0.3796  8 Ni 2.51-2.64, 3 Ta 2.52-2.60, 1 Tl 2.65
18 Ni 0.3638 0.1192 0.8698  1 Ta 2.51, 8 Ni 2.54-2.71, 3 Tl 2.60-2.66
19 Ni 0.0000 0.0000 0.5000  8 Ni 2.56, 4 Ta 2.57-2.60
20 Ni 0.3721 0.1179 0.3796  8 Ni 2.51-2.64, 3 Ta 2.52-2.60, 1 Tl 2.65
21 Ni 0.3721 0.1179 0.6204  8 Ni 2.51-2.64, 3 Ta 2.52-2.60, 1 Tl 2.65
22 Ni 0.8808 0.6362 0.8698  1 Ta 2.51, 8 Ni 2.54-2.71, 3 Tl 2.60-2.66
23 Ni 0.3638 0.1192 0.1302  1 Ta 2.51, 8 Ni 2.54-2.71, 3 Tl 2.60-2.66
24 Ni 0.8821 0.6279 0.6204  8 Ni 2.51-2.64, 3 Ta 2.52-2.60, 1 Tl 2.65
25 Ni 0.6362 0.8808 0.8698  1 Ta 2.51, 8 Ni 2.54-2.71, 3 Tl 2.60-2.66
26 Ni 0.8821 0.6279 0.3796  8 Ni 2.51-2.64, 3 Ta 2.52-2.60, 1 Tl 2.65
27 Ni 0.2452 0.7548 0.2581  8 Ni 2.51-2.69, 2 Ta 2.52-2.55, 2 Tl 2.65-2.69
28 Ni 0.5000 0.5000 0.0000  4 Tl 2.57-2.61, 8 Ni 2.65
29 Ta 0.7527 0.2473 0.5000  12 Ni 2.52-2.62
30 Ta 0.0000 0.0000 0.7501  12 Ni 2.51-2.60
31 Ta 0.0000 0.0000 0.2499  12 Ni 2.51-2.60
32 Ta 0.2473 0.7527 0.5000  12 Ni 2.52-2.62

---

10.
Ta2TlNi after structural relaxation. Source: the Alexandria database, functional PBEsol.

Summary:
Distance to the lowest polymorph of the same formula = 92 meV/atom
Calculated volume = 70.9 Å³/f.u.
Formation enthalpy at 0 K = 310 meV per atom
Fermi-level density of states = 3.41 states/eV/cell
Final energy = -8.162 eV per atom
Mass density = 14.6 Mg/m³

Cell lengths 3.0964, 3.0964, 8.7214 Å; angles 79.77, 79.77, 60.00 degrees
Closest atoms and distances in Å follow each position.
Fractional positions:
1 Tl 0.5080 0.5080 0.4761  3 Ni 2.75, 3 Ta 3.06
2 Ta 0.7443 0.7443 0.7671  9 Ta 2.84-3.10, 3 Tl 3.06
3 Ta 0.9915 0.9915 0.0256  3 Ni 2.51
4 Ni 0.2562 0.2562 0.2313  3 Ta 2.51, 3 Tl 2.75

---

11.
TaVNi after structural relaxation. Source: the Alexandria database, functional PBEsol.

Summary:
Calculated volume = 40.5 Å³/f.u.
Formation enthalpy at 0 K = -230 meV per atom
Fermi-level density of states = 12.04 states/eV/cell
Final energy = -9.678 eV per atom
Mass density = 11.9 Mg/m³

Cell lengths 4.8418, 4.8408, 7.9782 Å; angles 90.00, 90.00, 120.01 degrees
Closest atoms and distances in Å follow each position.
Fractional positions:
1 Ni 0.1605 0.8104 0.0000  4 Ni 2.37-2.47, 2 V 2.39-2.45
2 Ni 0.6500 0.8104 0.0000  4 Ni 2.37-2.47, 2 V 2.39-2.45
3 Ni 0.0002 0.0005 0.2450  4 V 2.36-2.50, 2 Ni 2.45
4 Ni 0.0002 0.0005 0.7550  4 V 2.36-2.50, 2 Ni 2.45
5 V 0.8279 0.6559 0.5000  4 V 2.35-2.49, 2 Ni 2.50
6 V 0.8327 0.1735 0.5000  4 V 2.35-2.49, 2 Ni 2.49
7 V 0.1574 0.3148 0.0000  6 Ni 2.36-2.45
8 V 0.3407 0.1735 0.5000  4 V 2.35-2.49, 2 Ni 2.49
9 Ta 0.6752 0.3504 0.8163  7 Ni 2.72-2.95, 5 V 2.83-2.89, 4 Ta 2.93-2.97
10 Ta 0.3407 0.6813 0.3053  5 Ni 2.76-2.89, 7 V 2.84-2.91, 3 Ta 2.95-2.97
11 Ta 0.6752 0.3504 0.1837  7 Ni 2.72-2.95, 5 V 2.83-2.89, 4 Ta 2.93-2.97
12 Ta 0.3407 0.6813 0.6947  5 Ni 2.76-2.89, 7 V 2.84-2.91, 3 Ta 2.95-2.97

---

12.
TaNiW after structural relaxation. Source: the Alexandria database, functional PBEsol.

Summary:
Calculated volume = 44.1 Å³/f.u.
Formation enthalpy at 0 K = 134 meV per atom
Fermi-level density of states = 3.24 states/eV/cell
Final energy = -10.705 eV per atom
Mass density = 15.9 Mg/m³

Cell lengths 3.2179, 3.2179, 4.8289 Å; angles 109.46, 109.46, 90.00 degrees
Closest atoms and distances in Å follow each position.
Fractional positions:
1 W 0.3417 0.3417 0.6835  4 Ni 2.63, 5 Ta 2.74
2 Ta 0.6628 0.6628 0.3257  5 Ni 2.69-2.83, 5 W 2.74
3 Ni 0.9954 0.9954 0.9908  4 W 2.63, 5 Ta 2.69-2.83

---

- What is the calculated volume in the eleventh record?
  40.5 Å³/f.u.